1.
Computed, not measured: crystalline LaHo2Mg at its relaxed geometry at the PBE level of DFT.

Cell lengths 4.939, 4.939, 5.053 Å; angles 90.00, 90.00, 90.00 degrees
Sites, in units of the cell vectors:
La: 0.000 0.000 0.000
Ho: 0.000 0.500 0.500
Ho: 0.500 0.000 0.500
Mg: 0.500 0.500 0.000

Results
The crystal system is tetragonal. For the formation energy, the calculation gives 0.027 eV per atom. Its offset from the most stable computed form is 0.050 eV per atom. For the calculated volume, the calculation gives 30.8 Å³ per atom. The density of states at the Fermi level is 7.0 states/eV per cell.

2.
Computed, not measured: crystalline GaAg7F12 at its relaxed geometry at the PBE level of DFT.

Cell lengths 7.754, 7.754, 7.754 Å; angles 112.51, 112.51, 112.51 degrees
Sites, in units of the cell vectors:
Ga: 0.000 0.000 0.000
Ag: 0.101 0.702 0.240
Ag: 0.240 0.101 0.702
Ag: 0.298 0.760 0.899
Ag: 0.500 0.500 0.500
Ag: 0.702 0.240 0.101
Ag: 0.760 0.899 0.298
Ag: 0.899 0.298 0.760
F: 0.078 0.311 0.139
F: 0.139 0.078 0.311
F: 0.219 0.389 0.779
F: 0.221 0.781 0.611
F: 0.311 0.139 0.078
F: 0.389 0.779 0.219
F: 0.611 0.221 0.781
F: 0.689 0.861 0.922
F: 0.779 0.219 0.389
F: 0.781 0.611 0.221
F: 0.861 0.922 0.689
F: 0.922 0.689 0.861

Results
The crystal system is trigonal. For the formation energy from raw total energies, the calculation gives -26.501 eV per formula unit. For the calculated volume, the calculation gives 15.6 Å³ per atom. The density of states at the Fermi level is 12.8 states/eV per cell.

3.
Computed, not measured: crystalline Be3InRh at its relaxed geometry at the PBE level of DFT.

Cell lengths 4.346, 4.346, 4.346 Å; angles 90.00, 90.00, 90.00 degrees
Sites, in units of the cell vectors:
Be: 0.000 0.000 0.500
Be: 0.000 0.500 0.000
Be: 0.500 0.000 0.000
In: 0.000 0.000 0.000
Rh: 0.500 0.500 0.500

Results
The crystal system is cubic. For the formation energy, the calculation gives 1.347 eV per atom. Its offset from the most stable computed form is 1.067 eV per atom. For the calculated volume, the calculation gives 16.4 Å³ per atom. The density of states at the Fermi level is 3.6 states/eV per cell.

4.
Computed, not measured: crystalline YZrZn at its relaxed geometry at the PBE level of DFT.

Cell lengths 4.762, 4.762, 4.762 Å; angles 60.00, 60.00, 60.00 degrees
Sites, in units of the cell vectors:
Y: 0.000 0.000 0.000
Zr: 0.500 0.500 0.500
Zn: 0.250 0.250 0.250

Results
The crystal system is cubic. For the formation energy, the calculation gives 0.199 eV per atom. Its offset from the most stable computed form is 0.400 eV per atom. For the calculated volume, the calculation gives 25.5 Å³ per atom. The density of states at the Fermi level is 4.2 states/eV per cell.

5.
Computed, not measured: crystalline SrYSe3 at its relaxed geometry at the PBE level of DFT.

Cell lengths 5.519, 5.519, 5.519 Å; angles 90.00, 90.00, 90.00 degrees
Sites, in units of the cell vectors:
Sr: 0.000 0.000 0.000
Y: 0.500 0.500 0.500
Se: 0.000 0.000 0.500
Se: 0.000 0.500 0.000
Se: 0.500 0.000 0.000

Results
The crystal system is cubic. For the formation energy from raw total energies, the calculation gives -2.204 eV per formula unit. Its offset from the most stable computed form is 0.950 eV per atom. For the calculated volume, the calculation gives 33.6 Å³ per atom. The density of states at the Fermi level is 6.5 states/eV per cell.

6.
Computed, not measured: crystalline Sr4YP at its relaxed geometry at the PBE level of DFT.

Cell lengths 7.076, 7.076, 7.076 Å; angles 60.00, 60.00, 60.00 degrees
Sites, in units of the cell vectors:
Sr: 0.125 0.125 0.125
Sr: 0.125 0.125 0.625
Sr: 0.125 0.625 0.125
Sr: 0.625 0.125 0.125
Y: 0.750 0.750 0.750
P: 0.500 0.500 0.500

Results
The crystal system is cubic. For the formation energy, the calculation gives 0.589 eV per atom. For the calculated volume, the calculation gives 41.8 Å³ per atom. The density of states at the Fermi level is 5.7 states/eV per cell.

7.
Computed, not measured: crystalline SrLiTa at its relaxed geometry at the PBE level of DFT.

Cell lengths 5.492, 5.492, 2.822 Å; angles 90.00, 90.00, 120.00 degrees
Sites, in units of the cell vectors:
Sr: 0.000 0.000 0.000
Li: 0.667 0.333 0.500
Ta: 0.333 0.667 0.000

Results
The crystal system is hexagonal. For the formation energy, the calculation gives 1.073 eV per atom. Its offset from the most stable computed form is 0.700 eV per atom. For the calculated volume, the calculation gives 24.6 Å³ per atom. The density of states at the Fermi level is 3.4 states/eV per cell.

8.
Computed, not measured: crystalline BeTe3Pt at its relaxed geometry at the PBE level of DFT.

Cell lengths 5.307, 5.307, 5.307 Å; angles 90.00, 90.00, 90.00 degrees
Sites, in units of the cell vectors:
Be: 0.000 0.000 0.000
Te: 0.000 0.500 0.500
Te: 0.500 0.000 0.500
Te: 0.500 0.500 0.000
Pt: 0.500 0.500 0.500

Results
The crystal system is cubic. For the formation energy from raw total energies, the calculation gives 4.308 eV per formula unit. Its offset from the most stable computed form is 0.176 eV per atom. For the calculated volume, the calculation gives 29.9 Å³ per atom. The density of states at the Fermi level is 6.4 states/eV per cell.

9.
Computed, not measured: crystalline KTc at its relaxed geometry at the PBE level of DFT.

Cell lengths 3.867, 3.867, 3.867 Å; angles 90.00, 90.00, 90.00 degrees
Sites, in units of the cell vectors:
K: 0.000 0.000 0.000
Tc: 0.500 0.500 0.500

Results
The crystal system is cubic. For the formation energy, the calculation gives 2.218 eV per atom. Its offset from the most stable computed form is 1.462 eV per atom. For the calculated volume, the calculation gives 28.9 Å³ per atom. The density of states at the Fermi level is 2.7 states/eV per cell.

10.
Computed, not measured: crystalline Hf2SiO at its relaxed geometry at the PBE level of DFT.

Cell lengths 4.448, 4.448, 4.448 Å; angles 60.00, 60.00, 60.00 degrees
Sites, in units of the cell vectors:
Hf: 0.250 0.250 0.250
Hf: 0.750 0.750 0.750
Si: 0.000 0.000 0.000
O: 0.500 0.500 0.500

Results
The crystal system is cubic. For the formation energy from raw total energies, the calculation gives -2.914 eV per formula unit. Its offset from the most stable computed form is 0.339 eV per atom. For the calculated volume, the calculation gives 15.6 Å³ per atom. The density of states at the Fermi level is 3.6 states/eV per cell.

11.
Computed, not measured: crystalline La4PrNd2Dy at its relaxed geometry at the PBE level of DFT.

Cell lengths 5.243, 5.271, 10.338 Å; angles 90.00, 90.04, 90.00 degrees
Sites, in units of the cell vectors:
La: 0.000 0.000 0.248
La: 0.000 0.000 0.752
La: 0.499 0.500 0.247
La: 0.501 0.500 0.753
Pr: 0.500 0.000 0.500
Nd: 0.000 0.500 0.500
Nd: 0.500 0.000 0.000
Dy: 0.000 0.500 0.000

Results
The crystal system is monoclinic. For the formation energy, the calculation gives 0.013 eV per atom. For the calculated volume, the calculation gives 35.7 Å³ per atom. The density of states at the Fermi level is 12.8 states/eV per cell.

12.
Computed, not measured: crystalline Cs2RbAg at its relaxed geometry at the PBE level of DFT.

Cell lengths 10.599, 10.599, 9.968 Å; angles 90.00, 90.00, 148.28 degrees
Sites, in units of the cell vectors:
Cs: 0.159 0.841 0.503
Cs: 0.159 0.841 0.997
Cs: 0.841 0.159 0.003
Cs: 0.841 0.159 0.497
Rb: 0.495 0.505 0.250
Rb: 0.505 0.495 0.750
Ag: 0.310 0.690 0.250
Ag: 0.690 0.310 0.750

Results
The crystal system is orthorhombic. For the formation energy, the calculation gives 0.036 eV per atom. Its offset from the most stable computed form is 0.004 eV per atom. For the calculated volume, the calculation gives 73.6 Å³ per atom. The density of states at the Fermi level is 6.3 states/eV per cell.

13.
Computed, not measured: crystalline RbHg2AsRh at its relaxed geometry at the PBE level of DFT.

Cell lengths 5.420, 5.420, 4.791 Å; angles 90.00, 90.00, 90.00 degrees
Sites, in units of the cell vectors:
Rb: 0.000 0.000 0.000
Hg: 0.000 0.500 0.500
Hg: 0.500 0.000 0.500
As: 0.500 0.500 0.000
Rh: 0.500 0.500 0.500

Results
The crystal system is tetragonal. For the formation energy, the calculation gives -0.158 eV per atom. For the calculated volume, the calculation gives 28.1 Å³ per atom. The density of states at the Fermi level is 4.0 states/eV per cell.

14.
Computed, not measured: crystalline CsScTl at its relaxed geometry at the PBE level of DFT.

Cell lengths 3.931, 3.945, 15.215 Å; angles 90.00, 97.33, 90.00 degrees
Sites, in units of the cell vectors:
Cs: 0.086 0.250 0.165
Cs: 0.914 0.750 0.835
Sc: 0.219 0.250 0.436
Sc: 0.781 0.750 0.564
Tl: 0.323 0.250 0.649
Tl: 0.677 0.750 0.351

Results
The crystal system is monoclinic. For the formation energy, the calculation gives -0.048 eV per atom. Its offset from the most stable computed form is 0.001 eV per atom. For the calculated volume, the calculation gives 39.0 Å³ per atom. The density of states at the Fermi level is 5.4 states/eV per cell.

15.
Computed, not measured: crystalline Np2BO8 at its relaxed geometry at the PBE level of DFT.

Cell lengths 4.156, 6.696, 9.807 Å; angles 73.01, 83.95, 72.01 degrees
Sites, in units of the cell vectors:
Np: 0.098 0.368 0.367
Np: 0.902 0.632 0.633
B: 0.000 0.500 0.000
O: 0.048 0.346 0.616
O: 0.095 0.488 0.121
O: 0.238 0.089 0.363
O: 0.403 0.628 0.634
O: 0.597 0.372 0.366
O: 0.762 0.911 0.637
O: 0.905 0.512 0.879
O: 0.952 0.654 0.384

Results
The crystal system is triclinic. For the formation energy from raw total energies, the calculation gives -26.459 eV per formula unit. For the calculated volume, the calculation gives 22.6 Å³ per atom. The density of states at the Fermi level is 6.4 states/eV per cell.

16.
Computed, not measured: crystalline NdHoErTm3 at its relaxed geometry at the PBE level of DFT.

Cell lengths 7.889, 7.889, 9.988 Å; angles 90.00, 90.00, 143.12 degrees
Sites, in units of the cell vectors:
Nd: 0.000 0.000 0.250
Nd: 0.000 0.000 0.750
Ho: 0.500 0.500 0.000
Ho: 0.500 0.500 0.500
Er: 0.332 0.668 0.750
Er: 0.668 0.332 0.250
Tm: 0.168 0.832 0.000
Tm: 0.168 0.832 0.500
Tm: 0.332 0.668 0.250
Tm: 0.668 0.332 0.750
Tm: 0.832 0.168 0.000
Tm: 0.832 0.168 0.500

Results
The crystal system is orthorhombic. For the formation energy, the calculation gives 0.026 eV per atom. For the calculated volume, the calculation gives 31.1 Å³ per atom. The density of states at the Fermi level is 16.3 states/eV per cell.

17.
Computed, not measured: crystalline Rb2NiRhCl6 at its relaxed geometry at the PBE level of DFT.

Cell lengths 6.799, 6.799, 6.799 Å; angles 116.57, 116.57, 96.05 degrees
Sites, in units of the cell vectors:
Rb: 0.250 0.750 0.500
Rb: 0.750 0.250 0.500
Ni: 0.000 0.000 0.000
Rh: 0.500 0.500 0.000
Cl: 0.242 0.242 0.000
Cl: 0.257 0.257 0.515
Cl: 0.257 0.743 0.000
Cl: 0.743 0.257 0.000
Cl: 0.743 0.743 0.485
Cl: 0.758 0.758 0.000

Results
The crystal system is tetragonal. For the formation energy from raw total energies, the calculation gives -10.239 eV per formula unit. For the calculated volume, the calculation gives 23.2 Å³ per atom. The density of states at the Fermi level is 4.8 states/eV per cell.

18.
Computed, not measured: crystalline Er3MgTl at its relaxed geometry at the PBE level of DFT.

Cell lengths 8.782, 8.782, 11.284 Å; angles 104.14, 104.14, 40.95 degrees
Sites, in units of the cell vectors:
Er: 0.156 0.239 0.753
Er: 0.192 0.712 0.501
Er: 0.239 0.156 0.253
Er: 0.288 0.808 0.999
Er: 0.343 0.454 0.745
Er: 0.454 0.343 0.245
Er: 0.546 0.657 0.755
Er: 0.657 0.546 0.255
Er: 0.712 0.192 0.001
Er: 0.761 0.844 0.747
Er: 0.808 0.288 0.499
Er: 0.844 0.761 0.247
Mg: 0.106 0.587 0.992
Mg: 0.413 0.894 0.508
Mg: 0.587 0.106 0.492
Mg: 0.894 0.413 0.008
Tl: 0.000 0.500 0.500
Tl: 0.074 0.926 0.250
Tl: 0.500 0.000 0.000
Tl: 0.926 0.074 0.750

Results
The crystal system is monoclinic. For the formation energy, the calculation gives -0.084 eV per atom. Its offset from the most stable computed form is 0.090 eV per atom. For the calculated volume, the calculation gives 27.5 Å³ per atom. The density of states at the Fermi level is 21.8 states/eV per cell.

19.
Computed, not measured: crystalline Sc4Pd2PtAu at its relaxed geometry at the PBE level of DFT.

Cell lengths 8.166, 8.166, 8.166 Å; angles 33.51, 33.51, 33.51 degrees
Sites, in units of the cell vectors:
Sc: 0.122 0.122 0.122
Sc: 0.373 0.373 0.373
Sc: 0.627 0.627 0.627
Sc: 0.878 0.878 0.878
Pd: 0.250 0.250 0.250
Pd: 0.750 0.750 0.750
Pt: 0.000 0.000 0.000
Au: 0.500 0.500 0.500

Results
The crystal system is trigonal. For the formation energy, the calculation gives -0.973 eV per atom. For the calculated volume, the calculation gives 18.5 Å³ per atom. The density of states at the Fermi level is 3.9 states/eV per cell.

20.
Computed, not measured: crystalline FeReH3 at its relaxed geometry at the PBE level of DFT.

Cell lengths 3.192, 3.192, 3.192 Å; angles 90.00, 90.00, 90.00 degrees
Sites, in units of the cell vectors:
Fe: 0.000 0.000 0.000
Re: 0.500 0.500 0.500
H: 0.000 0.000 0.500
H: 0.000 0.500 0.000
H: 0.500 0.000 0.000

Results
The crystal system is cubic. Its offset from the most stable computed form is 0.000 eV per atom. For the calculated volume, the calculation gives 6.5 Å³ per atom. The density of states at the Fermi level is 2.3 states/eV per cell.